[1]
BeFeCu2: optimized geometry, GGA-PBE. Values from VASP.

VASP energy, eV/cell: -19.990
Energy of formation, eV/atom: 0.098

Geometry as Quantum ESPRESSO input:
```
&SYSTEM
  ibrav = 0, nat = 4, ntyp = 3
/
ATOMIC_SPECIES
Be 9.01 Be.upf
Fe 55.84 Fe.upf
Cu 63.55 Cu.upf
CELL_PARAMETERS angstrom
-1.293 2.068 4.082
1.293 -2.068 4.082
1.293 2.068 -4.082
ATOMIC_POSITIONS angstrom
Be 0.000 0.000 0.000
Fe 1.293 0.000 1.905
Cu 0.000 0.000 4.123
Cu 0.000 2.068 2.239
```

[2]
LiMg3Sn6: optimized geometry, GGA-PBE. Values from VASP.

VASP energy, eV/cell: -62.283
Energy of formation, eV/atom: -0.043

Geometry as Quantum ESPRESSO input:
```
&SYSTEM
  ibrav = 0, nat = 20, ntyp = 3
/
ATOMIC_SPECIES
Li 6.94 Li.upf
Mg 24.30 Mg.upf
Sn 118.71 Sn.upf
CELL_PARAMETERS angstrom
8.243 0.000 0.000
0.000 7.433 0.000
-4.108 0.000 8.559
ATOMIC_POSITIONS angstrom
Li 0.000 0.000 0.000
Li -2.054 3.716 4.279
Mg -0.998 1.440 6.526
Mg 1.056 2.277 2.247
Mg 2.067 0.000 4.279
Mg 4.121 3.716 0.000
Mg 3.079 5.156 6.311
Mg 5.133 5.993 2.032
Sn -2.621 3.980 7.170
Sn -0.567 7.170 2.891
Sn 1.393 5.276 1.362
Sn -0.661 5.873 5.642
Sn 2.939 0.451 0.845
Sn 0.885 3.265 5.124
Sn 3.250 4.167 3.434
Sn 1.196 6.982 7.714
Sn 4.796 1.560 2.917
Sn 2.742 2.157 7.196
Sn 4.702 0.263 5.668
Sn 6.756 3.453 1.388
```

[3]
Pu3GePt: optimized geometry, GGA-PBE. Values from VASP.

VASP energy, eV/cell: -111.229
Offset from the most stable computed form, eV per atom: 0.067
Energy of formation, eV/atom: -0.392

Geometry as Quantum ESPRESSO input:
```
&SYSTEM
  ibrav = 0, nat = 10, ntyp = 3
/
ATOMIC_SPECIES
Pu 244.00 Pu.upf
Ge 72.64 Ge.upf
Pt 195.08 Pt.upf
CELL_PARAMETERS angstrom
6.798 -2.177 0.000
6.798 2.177 0.000
-1.285 0.000 7.453
ATOMIC_POSITIONS angstrom
Pu -0.031 0.000 1.886
Pu 2.366 0.000 5.061
Pu 5.706 0.000 0.689
Pu 6.606 0.000 6.763
Pu 9.946 0.000 2.392
Pu 12.343 0.000 5.567
Ge 4.907 0.000 3.509
Ge 7.406 0.000 3.944
Pt 2.582 0.000 0.434
Pt 9.730 0.000 7.019
```

[4]
LiCdGe2O6: optimized geometry, GGA-PBE. Values from VASP.

VASP energy, eV/cell: -112.413
Uncorrected formation energy, eV per atom: -1.44

Geometry as Quantum ESPRESSO input:
```
&SYSTEM
  ibrav = 0, nat = 20, ntyp = 4
/
ATOMIC_SPECIES
Li 6.94 Li.upf
Cd 112.41 Cd.upf
Ge 72.64 Ge.upf
O 16.00 O.upf
CELL_PARAMETERS angstrom
5.139 -4.836 0.000
5.139 4.836 0.000
-1.847 0.000 5.297
ATOMIC_POSITIONS angstrom
Li 3.754 2.631 3.972
Li 4.677 -2.631 1.324
Cd 4.677 3.789 1.324
Cd 3.754 -3.789 3.972
Ge 2.609 0.815 1.458
Ge 1.686 -0.815 4.106
Ge 6.745 0.815 1.190
Ge 5.821 -0.815 3.838
O 0.931 0.810 0.862
O 3.118 2.367 2.101
O 0.007 -0.810 3.510
O 3.689 0.429 0.089
O 6.236 2.367 0.547
O 2.765 -0.429 2.738
O 5.665 0.429 2.559
O 2.195 -2.367 4.750
O 4.742 -0.429 5.207
O 8.423 0.810 1.786
O 5.312 -2.367 3.195
O 7.500 -0.810 4.435
```

[5]
YEr2ThP4: optimized geometry, GGA-PBE. Values from VASP.

VASP energy, eV/cell: -57.557
Energy of formation, eV/atom: -1.614

Geometry as Quantum ESPRESSO input:
```
&SYSTEM
  ibrav = 0, nat = 8, ntyp = 4
/
ATOMIC_SPECIES
Y 88.91 Y.upf
Er 167.26 Er.upf
Th 232.04 Th.upf
P 30.97 P.upf
CELL_PARAMETERS angstrom
6.964 0.000 0.000
0.000 4.034 0.000
-2.325 0.000 6.571
ATOMIC_POSITIONS angstrom
Y 0.000 0.000 0.000
Er 2.320 0.000 3.285
Er 3.482 2.017 0.000
Th -1.162 2.017 3.285
P 1.195 2.017 1.639
P 0.037 0.000 4.965
P 4.602 0.000 1.606
P 3.444 2.017 4.932
```

[6]
Mn4VZn: optimized geometry, GGA-PBE. Values from VASP.

VASP energy, eV/cell: -46.832
Energy of formation, eV/atom: 0.040

Geometry as Quantum ESPRESSO input:
```
&SYSTEM
  ibrav = 0, nat = 6, ntyp = 3
/
ATOMIC_SPECIES
Mn 54.94 Mn.upf
V 50.94 V.upf
Zn 65.41 Zn.upf
CELL_PARAMETERS angstrom
0.000 3.304 3.304
3.304 0.000 3.304
3.304 3.304 0.000
ATOMIC_POSITIONS angstrom
Mn 2.482 2.482 2.482
Mn 4.126 4.126 2.482
Mn 4.126 2.482 4.126
Mn 2.482 4.126 4.126
V 0.000 0.000 0.000
Zn 4.956 4.956 4.956
```

[7]
ZrFeP: optimized geometry, GGA-PBE. Values from VASP.

VASP energy, eV/cell: -153.045
Energy of formation, eV/atom: -1.029

Geometry as Quantum ESPRESSO input:
```
&SYSTEM
  ibrav = 0, nat = 18, ntyp = 3
/
ATOMIC_SPECIES
Zr 91.22 Zr.upf
Fe 55.84 Fe.upf
P 30.97 P.upf
CELL_PARAMETERS angstrom
6.329 0.000 0.000
0.000 3.698 0.000
-0.108 0.000 10.940
ATOMIC_POSITIONS angstrom
Zr 0.101 0.924 1.322
Zr 0.928 0.924 4.588
Zr 2.946 2.773 8.693
Zr 3.275 0.924 2.247
Zr 5.294 2.773 6.352
Zr 6.120 2.773 9.619
Fe 0.860 0.924 7.698
Fe 2.247 2.773 0.426
Fe 3.114 2.773 4.499
Fe 3.107 0.924 6.441
Fe 3.975 0.924 10.514
Fe 5.362 2.773 3.242
P 1.436 2.773 2.714
P 1.680 0.924 10.183
P 1.728 2.773 6.374
P 4.493 0.924 4.566
P 4.541 2.773 0.757
P 4.786 0.924 8.226
```

[8]
NbNiGe: optimized geometry, GGA-PBE. Values from VASP.

VASP energy, eV/cell: -43.380
Energy of formation, eV/atom: -0.407

Geometry as Quantum ESPRESSO input:
```
&SYSTEM
  ibrav = 0, nat = 6, ntyp = 3
/
ATOMIC_SPECIES
Nb 92.91 Nb.upf
Ni 58.69 Ni.upf
Ge 72.64 Ge.upf
CELL_PARAMETERS angstrom
4.719 -1.925 0.000
4.719 1.925 0.000
-3.938 0.000 4.825
ATOMIC_POSITIONS angstrom
Nb -0.644 0.000 1.507
Nb 6.145 0.000 3.318
Ni -0.338 0.000 4.372
Ni 5.838 0.000 0.453
Ge 2.030 0.000 1.354
Ge 3.471 0.000 3.471
```

[9]
TaP2PbCl: optimized geometry, GGA-PBE. Values from VASP.

VASP energy, eV/cell: -28.721
Uncorrected formation energy, eV per atom: -0.10
Offset from the most stable computed form, eV per atom: 0.000

Geometry as Quantum ESPRESSO input:
```
&SYSTEM
  ibrav = 0, nat = 5, ntyp = 4
/
ATOMIC_SPECIES
Ta 180.95 Ta.upf
P 30.97 P.upf
Pb 207.20 Pb.upf
Cl 35.45 Cl.upf
CELL_PARAMETERS angstrom
4.912 0.000 0.000
0.000 4.912 0.000
0.000 0.000 4.841
ATOMIC_POSITIONS angstrom
Ta 0.000 0.000 0.000
P 0.000 2.456 0.000
P 2.456 0.000 0.000
Pb 2.456 2.456 2.420
Cl 0.000 0.000 2.420
```

[10]
Cs2AuCl4: optimized geometry, GGA-PBE. Values from VASP.

VASP energy, eV/cell: -21.113
Uncorrected formation energy, eV per atom: -1.25
Offset from the most stable computed form, eV per atom: 0.037

Geometry as Quantum ESPRESSO input:
```
&SYSTEM
  ibrav = 0, nat = 7, ntyp = 3
/
ATOMIC_SPECIES
Cs 132.91 Cs.upf
Au 196.97 Au.upf
Cl 35.45 Cl.upf
CELL_PARAMETERS angstrom
-2.722 2.722 8.255
2.722 -2.722 8.255
2.722 2.722 -8.255
ATOMIC_POSITIONS angstrom
Cs 0.000 0.000 2.245
Cs 0.000 0.000 14.264
Au 0.000 0.000 8.255
Cl 2.722 0.000 0.000
Cl 0.000 0.000 5.802
Cl 0.000 2.722 0.000
Cl 0.000 0.000 10.708
```

[11]
TaOsO2: optimized geometry, GGA-PBE. Values from VASP.

VASP energy, eV/cell: -34.738
Uncorrected formation energy, eV per atom: -0.43
Offset from the most stable computed form, eV per atom: 0.732

Geometry as Quantum ESPRESSO input:
```
&SYSTEM
  ibrav = 0, nat = 4, ntyp = 3
/
ATOMIC_SPECIES
Ta 180.95 Ta.upf
Os 190.23 Os.upf
O 16.00 O.upf
CELL_PARAMETERS angstrom
1.681 0.971 5.350
-1.681 0.971 5.350
0.000 -1.941 5.350
ATOMIC_POSITIONS angstrom
Ta 0.000 0.000 0.000
Os 0.000 0.000 8.025
O 0.000 0.000 1.990
O 0.000 0.000 14.059
```

[12]
NpCdFe4: optimized geometry, GGA-PBE. Values from VASP.

VASP energy, eV/cell: -45.800
Energy of formation, eV/atom: 0.318

Geometry as Quantum ESPRESSO input:
```
&SYSTEM
  ibrav = 0, nat = 6, ntyp = 3
/
ATOMIC_SPECIES
Np 237.00 Np.upf
Cd 112.41 Cd.upf
Fe 55.84 Fe.upf
CELL_PARAMETERS angstrom
0.000 3.524 3.524
3.524 0.000 3.524
3.524 3.524 0.000
ATOMIC_POSITIONS angstrom
Np 0.000 0.000 0.000
Cd 5.286 5.286 5.286
Fe 2.642 2.642 2.642
Fe 4.406 4.406 2.642
Fe 4.406 2.642 4.406
Fe 2.642 4.406 4.406
```